The following is a DFT calculation (PBE) of a geometry-optimized LaYNiAu structure.

The space group is F-43m (No. 216) and the conventional cell measures 7.219, 7.219 and 7.219 Å, with angles of 90.00, 90.00 and 90.00 degrees. Symmetry generates all atoms from La at (0.000, 0.000, 0.000), Y at (0.000, 0.000, 0.500), Ni at (0.250, 0.250, 0.250) and Au at (0.250, 0.250, 0.750).

The volume is 23.51 Å³/atom. For the energy relative to the elements, the calculation gives -0.51 eV/atom. The value obtained for the total moment is 0.0 μB per cell.